A geometry-optimized Ac2AlIn3 structure, computed with PBE-GGA.

The value obtained for the calculated formation energy is -0.434 eV per atom. As for the crystal system: orthorhombic. The space-group type is Pmm2, No. 25.

abc: 4.7225 4.7632 8.2696
angles: 90.00 90.00 90.00
Positions (direct):
In1 0.5000 0.5000 0.6563
In2 0.5000 0.0000 0.1760
Ac1 0.0000 0.0000 0.4951
Al1 0.5000 0.5000 0.3316
In3 0.5000 0.0000 0.8350
Ac2 0.0000 0.5000 0.0061

=====

A geometry-optimized SrZnIn structure, computed with PBE-GGA.

The value obtained for the calculated formation energy is -0.347 eV per atom. As for the crystal system: hexagonal. The space-group type is P-6m2, No. 187.

abc: 4.8801 4.8801 4.0503
angles: 90.00 90.00 120.00
Positions (direct):
Zn1 0.3333 0.6667 0.8337
Sr1 0.6667 0.3333 0.3332
In1 0.0000 0.0000 0.8331

=====

A geometry-optimized BaTeWI2 structure, computed with PBE-GGA.

As for the crystal system: tetragonal. The space-group type is P4/mmm, No. 123.

abc: 5.6003 5.6667 5.6003
angles: 90.00 90.00 90.00
Positions (direct):
W1 0.0000 0.0000 0.0000
Te1 0.0000 0.5000 0.0000
Ba1 0.5000 0.5000 0.5000
I1 0.5000 0.0000 0.0000
I2 0.0000 0.0000 0.5000

=====

A geometry-optimized Ba4AuI3 structure, computed with PBE-GGA.

As for the crystal system: orthorhombic. The space-group type is Cmmm, No. 65.

abc: 4.7216 8.8941 8.8941
angles: 106.75 90.00 90.00
Positions (direct):
Au1 0.5000 0.0000 0.0000
I1 0.0000 0.0000 0.5000
I2 0.5000 0.5000 0.5000
Ba1 0.5000 0.2362 0.7638
I3 0.0000 0.5000 0.0000
Ba2 0.5000 0.7638 0.2362
Ba3 0.0000 0.2106 0.2106
Ba4 0.0000 0.7894 0.7894

=====

A geometry-optimized HoCdPb3 structure, computed with PBE-GGA.

The value obtained for the calculated formation energy is -0.145 eV per atom. As for the crystal system: triclinic. The space-group type is P1, No. 1.

abc: 4.5687 6.0370 5.9887
angles: 86.91 111.96 112.01
Positions (direct):
Pb1 0.6930 0.9569 0.8176
Pb2 0.3012 0.3363 0.6487
Pb3 0.8697 0.7381 0.3852
Ho1 0.4968 0.1486 0.2308
Cd1 0.0932 0.5450 0.0230

=====

A geometry-optimized Li5Ga6Si structure, computed with PBE-GGA.

As for the crystal system: triclinic. The space-group type is P-1, No. 2.

abc: 3.8560 8.0975 7.5722
angles: 121.78 104.87 90.55
Positions (direct):
Ga1 0.5005 0.7524 0.0003
Li1 0.0000 0.5000 0.0000
Li2 0.3389 0.8394 0.6786
Ga2 0.1678 0.9154 0.3352
Li3 0.3364 0.3364 0.6715
Ga3 0.4995 0.2476 0.9997
Li4 0.6636 0.6636 0.3285
Ga4 0.8328 0.5825 0.6647
Ga5 0.1672 0.4175 0.3353
Si1 0.0000 0.0000 0.0000
Li5 0.6611 0.1606 0.3214
Ga6 0.8322 0.0846 0.6648

=====

A geometry-optimized La8Ho2In structure, computed with PBE-GGA.

The value obtained for the calculated formation energy is -0.077 eV per atom. As for the crystal system: monoclinic. The space-group type is C2/m, No. 12.

abc: 5.0867 8.2385 9.6618
angles: 105.27 105.26 90.00
Positions (direct):
In1 0.5000 0.0000 0.0000
La1 0.9548 0.2655 0.9095
La2 0.8634 0.8213 0.7269
Ho1 0.2267 0.6335 0.4534
La3 0.5916 0.4495 0.1832
La4 0.6755 0.9082 0.3509
La5 0.1366 0.1787 0.2731
Ho2 0.7733 0.3665 0.5466
La6 0.3245 0.0918 0.6491
La7 0.4084 0.5505 0.8168
La8 0.0452 0.7345 0.0905

=====

A geometry-optimized YZnCr2 structure, computed with PBE-GGA.

The value obtained for the calculated formation energy is 0.466 eV per atom. As for the crystal system: tetragonal. The space-group type is I4/mmm, No. 139.

abc: 4.9701 4.9701 4.9701
angles: 127.12 127.12 78.06
Positions (direct):
Zn1 0.7500 0.2500 0.5000
Y1 0.2500 0.7500 0.5000
Cr1 0.0000 0.0000 0.0000
Cr2 0.5000 0.5000 0.0000

=====

A geometry-optimized KLiCo2 structure, computed with PBE-GGA.

The value obtained for the calculated formation energy is 0.947 eV per atom. As for the crystal system: tetragonal. The space-group type is I4/mmm, No. 139.

abc: 5.6548 5.6548 5.6548
angles: 142.23 142.23 54.48
Positions (direct):
K1 0.2500 0.7500 0.5000
Li1 0.7500 0.2500 0.5000
Co1 0.0000 0.0000 0.0000
Co2 0.5000 0.5000 0.0000

=====

A geometry-optimized NpAl2Au5 structure, computed with PBE-GGA.

The value obtained for the calculated formation energy is -0.252 eV per atom. As for the crystal system: orthorhombic. The space-group type is Immm, No. 71.

abc: 4.0333 6.8141 6.8141
angles: 64.53 72.79 72.79
Positions (direct):
Au1 0.6367 0.5722 0.1544
Au2 0.3633 0.8456 0.4278
Al1 0.7578 0.7422 0.7422
Al2 0.2422 0.2578 0.2578
Au3 0.0000 0.5000 0.5000
Au4 0.6367 0.1544 0.5722
Np1 0.0000 0.0000 0.0000
Au5 0.3633 0.4278 0.8456

=====

A geometry-optimized K4Ce3TeSe8 structure, computed with PBE-GGA.

As for the crystal system: monoclinic. The space-group type is C2/m, No. 12.

abc: 8.5593 9.0413 8.9984
angles: 117.78 118.40 90.00
Positions (direct):
K1 0.0000 0.0000 0.0000
K2 0.0000 0.0000 0.5000
Ce1 0.5000 0.5000 0.5000
Se1 0.7256 0.2681 0.4512
Se2 0.7278 0.7061 0.4556
Se3 0.2186 0.6922 0.9523
Se4 0.7336 0.6922 0.9523
K3 0.5000 0.0000 0.5000
Se5 0.2722 0.2939 0.5444
Ce2 0.0000 0.5000 0.5000
K4 0.5000 0.0000 0.0000
Se6 0.2744 0.7319 0.5488
Se7 0.7814 0.3078 0.0477
Te1 0.0000 0.5000 0.0000
Se8 0.2664 0.3078 0.0477
Ce3 0.5000 0.5000 0.0000

=====

A geometry-optimized K4CuP6H8O22 structure, computed with PBE-GGA.

As for the crystal system: monoclinic. The space-group type is P2_1/c, No. 14.

abc: 8.5827 8.6561 14.5015
angles: 90.00 90.00 96.73
Positions (direct):
H1 0.3539 0.2227 0.9304
P1 0.9961 0.7469 0.3354
K1 0.3352 0.4953 0.7790
O1 0.9341 0.1050 0.6015
P2 0.0039 0.2531 0.6646
P3 0.0039 0.7531 0.8354
O2 0.8849 0.3000 0.2339
P4 0.3253 0.1953 0.1769
H2 0.4999 0.2980 0.3632
O3 0.3094 0.5582 0.3867
O4 0.2307 0.8495 0.5423
O5 0.8485 0.7891 0.7784
O6 0.3536 0.8597 0.3810
O7 0.6450 0.6655 0.4436
H3 0.3297 0.2392 0.5160
O8 0.3550 0.8345 0.9436
H4 0.7489 0.1317 0.0740
P5 0.3253 0.6953 0.3231
O9 0.4434 0.2112 0.2531
O10 0.6450 0.1655 0.0564
O11 0.2307 0.3495 0.9577
O12 0.2707 0.1062 0.4488
O13 0.7293 0.3938 0.9488
P6 0.2339 0.4331 0.0491
K2 0.9474 0.6717 0.5981
O14 0.6464 0.6403 0.8810
O15 0.9378 0.6137 0.3985
O16 0.2707 0.6062 0.0512
O17 0.3550 0.3345 0.5564
H5 0.5001 0.7020 0.6368
P7 0.6747 0.3047 0.6769
O18 0.1151 0.2000 0.7339
O19 0.7693 0.1505 0.4577
P8 0.9961 0.2469 0.1646
K3 0.9474 0.1717 0.9019
O20 0.1515 0.7109 0.2784
K4 0.0526 0.3283 0.4019
O21 0.5785 0.8550 0.0950
O22 0.6906 0.9418 0.8867
H6 0.2511 0.3683 0.5740
O23 0.9378 0.1137 0.1015
H7 0.6703 0.7608 0.4840
P9 0.2339 0.9331 0.4509
H8 0.2511 0.8683 0.9260
K5 0.6648 0.5047 0.2210
H9 0.3297 0.7392 0.9840
H10 0.6461 0.7773 0.0696
O24 0.0659 0.8950 0.3985
O25 0.7693 0.6505 0.0423
O26 0.3094 0.0582 0.1133
O27 0.3536 0.3597 0.1190
O28 0.6464 0.1403 0.6190
O29 0.5566 0.2888 0.7531
O30 0.4434 0.7112 0.2469
O31 0.4215 0.1450 0.9050
H11 0.5001 0.2020 0.8632
H12 0.6461 0.2773 0.4304
O32 0.7293 0.8938 0.5512
O33 0.9341 0.6050 0.8985
H13 0.7489 0.6317 0.4260
P10 0.7661 0.5669 0.9509
H14 0.3539 0.7227 0.5696
O34 0.1151 0.7000 0.7661
P11 0.6747 0.8047 0.8231
O35 0.5566 0.7888 0.7469
K6 0.3352 0.9953 0.7210
O36 0.5785 0.3550 0.4050
O37 0.0622 0.3863 0.6015
O38 0.0622 0.8863 0.8985
P12 0.7661 0.0669 0.5491
O39 0.8849 0.8000 0.2661
H15 0.6703 0.2608 0.0160
K7 0.6648 0.0047 0.2790
O40 0.8485 0.2891 0.7216
K8 0.0526 0.8283 0.0981
Cu1 0.5000 0.0000 0.0000
O41 0.6906 0.4418 0.6133
H16 0.4999 0.7980 0.1368
O42 0.1515 0.2109 0.2216
O43 0.0659 0.3950 0.1015
O44 0.4215 0.6450 0.5950
Cu2 0.5000 0.5000 0.5000

=====

| no. | total DFT energy (no corrections) (eV/cell) | volume (A^3/atom) |
| --- | --- | --- |
| 1 | -22.78 | 31.00 |
| 2 | -6.73 | 27.85 |
| 3 | -21.85 | 35.55 |
| 4 | -25.01 | 44.71 |
| 5 | -17.34 | 28.26 |
| 6 | -35.64 | 15.94 |
| 7 | -52.16 | 34.16 |
| 8 | -25.12 | 18.91 |
| 9 | -13.44 | 16.84 |
| 10 | -38.83 | 19.80 |
| 11 | -75.21 | 32.47 |
| 12 | -502.27 | 13.05 |